# 1
TbSm8Hg2 | Alexandria via LeMat-Bulk | PBE | optimized geometry; spin magnetization = 0.0000 μB per atom; formation enthalpy at 0 K = -0.06 eV per atom; ρ = 8.19 g/cm3; DFT total energy = -3.965 eV per atom; symmetry = C2/m, No. 12
1.0
4.4421 -7.6021 0.0000
4.4421 7.6021 0.0000
-2.0660 0.0000 5.2908
Tb Sm Hg
1 8 2
direct
0.0000 0.0000 0.0000
0.0923 0.3182 0.6055
0.2242 0.7758 0.0000
0.3182 0.0923 0.6055
0.4002 0.4002 0.2009
0.5998 0.5998 0.7991
0.6818 0.9077 0.3945
0.7758 0.2242 0.0000
0.9077 0.6818 0.3945
0.3056 0.6944 0.5000
0.6944 0.3056 0.5000

***

# 2
Ca5Sb3O | Alexandria via LeMat-Bulk | PBE | optimized geometry; spin magnetization = 0.0000 μB per atom; ρ = 3.90 g/cm3; DFT total energy = -4.494 eV per atom; symmetry = I4/mcm, No. 140
1.0
-4.1276 4.1276 7.2715
4.1276 -4.1276 7.2715
4.1276 4.1276 -7.2715
Ca Sb O
10 6 2
direct
0.0000 0.0000 0.0000
0.0060 0.5060 0.2058
0.1999 0.9940 0.5000
0.3001 0.8001 0.7942
0.4940 0.6999 0.5000
0.5000 0.5000 0.0000
0.5060 0.3001 0.5000
0.6999 0.1999 0.2058
0.8001 0.0060 0.5000
0.9940 0.4940 0.7942
0.1464 0.3536 0.5000
0.2500 0.2500 0.0000
0.3536 0.8536 0.2072
0.6464 0.1464 0.7928
0.7500 0.7500 0.0000
0.8536 0.6464 0.5000
0.2500 0.7500 0.5000
0.7500 0.2500 0.5000